The following is a DFT calculation (meta-GGA SCAN) of a crystal of LaIn8 relaxed with PBEsol.

Values from the calculation:
formation energy = -158.6 kJ/mol of formula units
magnetization = 0.000 μB/atom

Cell: 4.673 7.391 7.391 Å, 84.27 71.57 71.57°
Fractional positions:
In 0.325 0.000 0.349
In 0.675 0.000 0.651
In 0.659 0.341 0.341
In 0.325 0.349 0.000
In 0.000 0.341 0.659
In 0.675 0.651 0.000
In 0.341 0.659 0.659
In 0.000 0.659 0.341
La 0.000 0.000 0.000